{
  "formula": "Ho3Er3Co2",
  "functional": "PBE",
  "state": "optimized geometry",
  "m_tot_mub_per_cell": 0.000,
  "sg": "Cmcm, No. 63",
  "energy_ev_per_atom": -5.29,
  "lattice": [[3.5951, 0.0000, 0.0000], [-1.7975, 6.5002, 0.0000], [0.0000, 0.0000, 17.9664]],
  "species": ["Ho", "Ho", "Ho", "Ho", "Ho", "Ho", "Er", "Er", "Er", "Er", "Er", "Er", "Co", "Co", "Co", "Co"],
  "frac_coords": [[0.0649, 0.1298, 0.9129], [0.0649, 0.1298, 0.5871], [0.7278, 0.4556, 0.2500], [0.2722, 0.5444, 0.7500], [0.9351, 0.8702, 0.0871], [0.9351, 0.8702, 0.4129], [0.5481, 0.0962, 0.7500], [0.3229, 0.6459, 0.9348], [0.6771, 0.3541, 0.0652], [0.3229, 0.6459, 0.5652], [0.6771, 0.3541, 0.4348], [0.4519, 0.9038, 0.2500], [0.6969, 0.3938, 0.8575], [0.3031, 0.6062, 0.1425], [0.6969, 0.3938, 0.6425], [0.3031, 0.6062, 0.3575]]
}